1.
First-principles (GGA+U) data for an optimized crystal structure of MnAlN2O, as listed in the Alexandria database.

Computed properties:
crystal system: tetragonal
DFT total energy: -6.656 eV per atom

a = 3.814 Å, b = 3.814 Å, c = 3.673 Å
α = 90.00°, β = 90.00°, γ = 90.00°
Space group P4/mmm (No. 123)
Inequivalent atoms, fractional coordinates:
Mn 0.000 0.000 0.000 [1 per cell]
Al 0.500 0.500 0.500 [1 per cell]
N 0.000 0.500 0.500 [2 per cell]
O 0.500 0.500 0.000 [1 per cell]

2.
First-principles (GGA+U) data for an optimized crystal structure of MnAlN2O, as listed in the Alexandria database.

Computed properties:
crystal system: tetragonal
DFT total energy: -6.055 eV per atom

a = 3.766 Å, b = 3.766 Å, c = 3.715 Å
α = 90.00°, β = 90.00°, γ = 90.00°
Space group P4/mmm (No. 123)
Inequivalent atoms, fractional coordinates:
Mn 0.000 0.000 0.000 [1 per cell]
Al 0.500 0.500 0.500 [1 per cell]
N 0.000 0.500 0.000 [2 per cell]
O 0.000 0.000 0.500 [1 per cell]